Below is an optimized crystal structure of Ba2CrBr, with properties calculated at the PBE level.

Calculated values
ΔE to the lowest computed polymorph, meV/atom: 153.6
Space group: I-42d, No. 122
Theoretical density, Mg/m³: 3.647
Calculated volume, Å³/f.u.: 185.1
DFT total energy, eV/atom: -3.94
Energy relative to the elements, uncorrected, meV/atom: -158

Cell lengths 7.8389, 7.8389, 7.8389 Å; angles 110.78, 110.78, 106.89 degrees
With the nearest neighbours (Å) after each atom.
Fractional coordinates of all 8 atoms:
1 Ba 0.1130 0.1250 0.4880  2 Br 3.29, 2 Cr 3.43
2 Ba 0.3750 0.8870 0.0120  2 Br 3.29, 2 Cr 3.43
3 Ba 0.6370 0.6250 0.5120  2 Br 3.29, 2 Cr 3.43
4 Ba 0.8750 0.3630 0.9880  2 Br 3.29, 2 Cr 3.43
5 Cr 0.2500 0.7500 0.5000  4 Ba 3.43
6 Cr 0.5000 0.5000 0.0000  4 Ba 3.43
7 Br 0.0000 0.0000 0.0000  4 Ba 3.29
8 Br 0.7500 0.2500 0.5000  4 Ba 3.29